## Ta5GeB2 (SCAN)

Data for Ta5GeB2 at its PBEsol-relaxed geometry.

Output
ΔE_f ... -0.62 eV per atom
Electronic total energy ... -46.48 eV per atom

Cell lengths 6.2189, 6.2189, 7.2681 Å; angles 115.33, 115.33, 90.00 degrees
Closest atoms and distances in Å follow each position.
Fractional positions:
Ta 0.4715 0.3032 0.2747  3 B 2.40-2.47, 2 Ge 2.66
Ta 0.8032 0.9715 0.2747  3 B 2.40-2.47, 2 Ge 2.66
Ta 0.9715 0.4715 0.2747  3 B 2.40-2.47, 2 Ge 2.66
Ta 0.3032 0.8032 0.2747  3 B 2.40-2.47, 2 Ge 2.66
Ta 0.5285 0.6968 0.7253  3 B 2.40-2.47, 2 Ge 2.66
Ta 0.1968 0.0285 0.7253  3 B 2.40-2.47, 2 Ge 2.66
Ta 0.0285 0.5285 0.7253  3 B 2.40-2.47, 2 Ge 2.66
Ta 0.6968 0.1968 0.7253  3 B 2.40-2.47, 2 Ge 2.66
Ta 0.5000 0.5000 0.0000  4 B 2.48
Ta 0.0000 0.0000 0.0000  4 B 2.48
Ge 0.7500 0.7500 0.5000  10 Ta 2.66-2.89
Ge 0.2500 0.2500 0.5000  10 Ta 2.66-2.89
B 0.1194 0.3806 0.0000  1 B 2.10
B 0.8806 0.6194 0.0000  1 B 2.10
B 0.6194 0.1194 0.0000  1 B 2.10
B 0.3806 0.8806 0.0000  1 B 2.10